Entry 1:
# Cs3CrS (PBE, relaxed)
# ΔE_f (raw)   0.006 eV per atom
# Crystal system   cubic
data_Cs3CrS
_chemical_formula_sum 'Cs3 Cr1 S1'
_cell_length_a 6.771
_cell_length_b 6.771
_cell_length_c 6.771
_cell_angle_alpha 90.00
_cell_angle_beta 90.00
_cell_angle_gamma 90.00
_space_group_name_H-M_alt 'P m -3 m'
_space_group_IT_number 221
_space_group_name_Hall '-P 4 2 3'
loop_
_atom_site_label
_atom_site_type_symbol
_atom_site_fract_x
_atom_site_fract_y
_atom_site_fract_z
Cs1 Cs 0.000 0.000 0.500
Cr1 Cr 0.500 0.500 0.500
S1 S 0.000 0.000 0.000



Entry 2:
# Cs3CrS3 (PBE, relaxed)
# ΔE_f (raw)   -0.983 eV per atom
# Crystal system   monoclinic
data_Cs3CrS3
_chemical_formula_sum 'Cs12 Cr4 S12'
_cell_length_a 9.461
_cell_length_b 8.085
_cell_length_c 13.548
_cell_angle_alpha 90.00
_cell_angle_beta 97.57
_cell_angle_gamma 90.00
_space_group_name_H-M_alt 'P 1 21/c 1'
_space_group_IT_number 14
loop_
_space_group_symop_operation_xyz
'x,y,z'
'-x,-y,-z'
'-x,y+1/2,-z+1/2'
'x,-y+1/2,z+1/2'
loop_
_atom_site_label
_atom_site_type_symbol
_atom_site_fract_x
_atom_site_fract_y
_atom_site_fract_z
Cs1 Cs 0.064 0.128 0.140
Cs2 Cs 0.333 0.710 0.791
Cs3 Cs 0.387 0.219 0.928
Cr1 Cr 0.149 0.569 0.046
S1 S 0.070 0.061 0.396
S2 S 0.244 0.676 0.525
S3 S 0.325 0.063 0.646



Entry 3:
# Cs2CrS2 (PBE, relaxed)
# ΔE_f (raw)   -0.844 eV per atom
# Crystal system   orthorhombic
data_Cs2CrS2
_chemical_formula_sum 'Cs8 Cr4 S8'
_cell_length_a 7.291
_cell_length_b 14.088
_cell_length_c 6.538
_cell_angle_alpha 90.00
_cell_angle_beta 90.00
_cell_angle_gamma 90.00
_space_group_name_H-M_alt 'I b a m'
_space_group_IT_number 72
_space_group_name_Hall '-I 2 2c'
loop_
_atom_site_label
_atom_site_type_symbol
_atom_site_fract_x
_atom_site_fract_y
_atom_site_fract_z
Cs1 Cs 0.162 0.148 0.000
Cr1 Cr 0.000 0.500 0.250
S1 S 0.161 0.405 0.000



Entry 4:
# Cs2CrS (PBE, relaxed)
# ΔE_f (raw)   0.207 eV per atom
# Crystal system   cubic
data_Cs2CrS
_chemical_formula_sum 'Cs8 Cr4 S4'
_cell_length_a 8.467
_cell_length_b 8.467
_cell_length_c 8.467
_cell_angle_alpha 90.00
_cell_angle_beta 90.00
_cell_angle_gamma 90.00
_space_group_name_H-M_alt 'F m -3 m'
_space_group_IT_number 225
_space_group_name_Hall '-F 4 2 3'
loop_
_atom_site_label
_atom_site_type_symbol
_atom_site_fract_x
_atom_site_fract_y
_atom_site_fract_z
Cs1 Cs 0.250 0.250 0.250
Cr1 Cr 0.000 0.000 0.000
S1 S 0.000 0.000 0.500



Entry 5:
# Cs2CrS4 (PBE, relaxed)
# ΔE_f (raw)   -0.905 eV per atom
# Crystal system   orthorhombic
data_Cs2CrS4
_chemical_formula_sum 'Cs8 Cr4 S16'
_cell_length_a 10.233
_cell_length_b 7.214
_cell_length_c 12.748
_cell_angle_alpha 90.00
_cell_angle_beta 90.00
_cell_angle_gamma 90.00
_space_group_name_H-M_alt 'P n m a'
_space_group_IT_number 62
loop_
_space_group_symop_operation_xyz
'x,y,z'
'-x,-y,-z'
'-x+1/2,-y,z+1/2'
'x+1/2,y,-z+1/2'
'x+1/2,-y+1/2,-z+1/2'
'-x+1/2,y+1/2,z+1/2'
'-x,y+1/2,-z'
'x,-y+1/2,z'
loop_
_atom_site_label
_atom_site_type_symbol
_atom_site_fract_x
_atom_site_fract_y
_atom_site_fract_z
Cs1 Cs 0.032 0.250 0.168
Cs2 Cs 0.150 0.750 0.401
Cr1 Cr 0.246 0.750 0.081
S1 S 0.044 0.750 0.105
S2 S 0.173 0.015 0.651
S3 S 0.210 0.250 0.422



Entry 6:
# Cs2CrS4 (PBE, relaxed)
# ΔE_f (raw)   -0.483 eV per atom
# Crystal system   tetragonal
data_Cs2CrS4
_chemical_formula_sum 'Cs4 Cr2 S8'
_cell_length_a 4.895
_cell_length_b 4.895
_cell_length_c 17.206
_cell_angle_alpha 90.00
_cell_angle_beta 90.00
_cell_angle_gamma 90.00
_space_group_name_H-M_alt 'I 4/m m m'
_space_group_IT_number 139
_space_group_name_Hall '-I 4 2'
loop_
_atom_site_label
_atom_site_type_symbol
_atom_site_fract_x
_atom_site_fract_y
_atom_site_fract_z
Cs1 Cs 0.000 0.000 0.149
Cr1 Cr 0.000 0.000 0.500
S1 S 0.000 0.000 0.369
S2 S 0.000 0.500 0.000



Entry 7:
# Cs3CrS4 (PBE, relaxed)
# ΔE_f (raw)   -1.022 eV per atom
# Crystal system   orthorhombic
data_Cs3CrS4
_chemical_formula_sum 'Cs12 Cr4 S16'
_cell_length_a 9.821
_cell_length_b 11.728
_cell_length_c 9.832
_cell_angle_alpha 90.00
_cell_angle_beta 90.00
_cell_angle_gamma 90.00
_space_group_name_H-M_alt 'P n m a'
_space_group_IT_number 62
loop_
_space_group_symop_operation_xyz
'x,y,z'
'-x,-y,-z'
'-x+1/2,-y,z+1/2'
'x+1/2,y,-z+1/2'
'x+1/2,-y+1/2,-z+1/2'
'-x+1/2,y+1/2,z+1/2'
'-x,y+1/2,-z'
'x,-y+1/2,z'
loop_
_atom_site_label
_atom_site_type_symbol
_atom_site_fract_x
_atom_site_fract_y
_atom_site_fract_z
Cs1 Cs 0.044 0.042 0.209
Cs2 Cs 0.151 0.750 0.413
Cr1 Cr 0.223 0.750 0.984
S1 S 0.021 0.750 0.066
S2 S 0.173 0.100 0.549
S3 S 0.211 0.750 0.767



Entry 8:
# Cs3Cr5S12 (PBE, relaxed)
# ΔE_f (raw)   -0.542 eV per atom
# Crystal system   cubic
data_Cs3Cr5S12
_chemical_formula_sum 'Cs24 Cr40 S96'
_cell_length_a 15.830
_cell_length_b 15.830
_cell_length_c 15.830
_cell_angle_alpha 90.00
_cell_angle_beta 90.00
_cell_angle_gamma 90.00
_space_group_name_H-M_alt 'I a -3 d'
_space_group_IT_number 230
_space_group_name_Hall '-I 4bd 2c 3'
loop_
_atom_site_label
_atom_site_type_symbol
_atom_site_fract_x
_atom_site_fract_y
_atom_site_fract_z
Cs1 Cs 0.000 0.250 0.125
Cr1 Cr 0.000 0.000 0.000
Cr2 Cr 0.000 0.250 0.375
S1 S 0.040 0.145 0.949